{
  "formula": "HfGe2MoO8",
  "functional": "PBE+U",
  "state": "optimized geometry",
  "volume_a3_per_atom": 11.86,
  "spacegroup": "I-4m2 (119)",
  "final_energy_ev_per_cell": -89.72,
  "cell": [[-3.354, 3.354, 3.164], [3.354, -3.354, 3.164], [3.354, 3.354, -3.164]],
  "species": ["Hf", "Ge", "Ge", "Mo", "O", "O", "O", "O", "O", "O", "O", "O"],
  "fractional_positions": [[0.000, 0.000, 0.000], [0.250, 0.750, 0.500], [0.500, 0.500, 0.000], [0.750, 0.250, 0.500], [0.055, 0.369, 0.313], [0.055, 0.742, 0.687], [0.115, 0.300, 0.815], [0.258, 0.945, 0.313], [0.485, 0.300, 0.185], [0.631, 0.945, 0.687], [0.700, 0.515, 0.815], [0.700, 0.885, 0.185]]
}